# 1
BaAc2Au3 (PBE, optimized geometry); energy above the most stable polymorph in this dataset = 0 meV per atom
1.0
3.948 0.000 0.000
0.000 3.948 0.000
0.000 0.000 11.912
Ba Ac Au
1 2 3
direct
0.000 0.000 0.000
0.000 0.000 0.335
0.000 0.000 0.665
0.500 0.500 0.189
0.500 0.500 0.500
0.500 0.500 0.811



# 2
Crystalline BaAcAu10 at its relaxed geometry. Source: Alexandria, functional PBE.

```
BaAcAu10
1.0
4.597 0.000 0.000
0.000 5.918 0.000
0.000 0.000 10.018
Ba Ac Au
1 1 10
direct
0.000 0.000 0.000
0.000 0.500 0.500
0.000 0.000 0.336
0.000 0.000 0.664
0.000 0.500 0.170
0.000 0.500 0.830
0.500 0.000 0.500
0.500 0.255 0.257
0.500 0.255 0.743
0.500 0.500 0.000
0.500 0.745 0.257
0.500 0.745 0.743
```



# 3
BaAcAu4 (PBE, optimized geometry); energy above the most stable polymorph in this dataset = 0 meV per atom
1.0
-2.195 2.195 8.924
2.195 -2.195 8.924
2.195 2.195 -8.924
Ba Ac Au
1 1 4
direct
0.000 0.000 0.000
0.750 0.250 0.500
0.173 0.673 0.500
0.327 0.827 0.500
0.421 0.421 0.000
0.579 0.579 0.000



# 4
Crystalline BaAc2Au4 at its relaxed geometry. Source: Alexandria, functional PBE.

```
BaAc2Au4
1.0
-4.750 4.750 4.843
4.750 -4.750 4.843
4.750 4.750 -4.843
Ba Ac Au
2 4 8
direct
0.000 0.000 0.000
0.750 0.250 0.500
0.242 0.125 0.617
0.375 0.758 0.883
0.508 0.625 0.383
0.875 0.492 0.117
0.145 0.400 0.431
0.150 0.395 0.931
0.285 0.855 0.255
0.465 0.219 0.069
0.600 0.031 0.745
0.605 0.535 0.755
0.781 0.850 0.245
0.969 0.715 0.569
```



# 5
Crystalline Ba3AcAu at its relaxed geometry. Source: Alexandria, functional PBE.

```
Ba3AcAu
1.0
6.452 0.000 0.000
0.000 6.452 0.000
0.000 0.000 6.452
Ba Ac Au
3 1 1
direct
0.000 0.000 0.500
0.000 0.500 0.000
0.500 0.000 0.000
0.500 0.500 0.500
0.000 0.000 0.000
```



# 6
Crystalline BaAc4Au5 at its relaxed geometry. Source: Alexandria, functional PBE.

```
BaAc4Au5
1.0
3.920 0.000 0.000
0.000 3.920 0.000
0.000 0.000 19.847
Ba Ac Au
1 4 5
direct
0.000 0.000 0.000
0.000 0.000 0.203
0.000 0.000 0.401
0.000 0.000 0.599
0.000 0.000 0.797
0.500 0.500 0.114
0.500 0.500 0.302
0.500 0.500 0.500
0.500 0.500 0.698
0.500 0.500 0.886
```



# 7
BaAcAu4 (PBE, optimized geometry); energy above the most stable polymorph in this dataset = 248 meV per atom
1.0
0.000 4.231 4.231
4.231 0.000 4.231
4.231 4.231 0.000
Ba Ac Au
1 1 4
direct
0.000 0.000 0.000
0.250 0.250 0.250
0.125 0.625 0.625
0.625 0.125 0.625
0.625 0.625 0.125
0.625 0.625 0.625



# 8
Crystalline Ba2AcAu4 at its relaxed geometry. Source: Alexandria, functional PBE.

```
Ba2AcAu4
1.0
-2.884 2.884 7.117
2.884 -2.884 7.117
2.884 2.884 -7.117
Ba Ac Au
2 1 4
direct
0.212 0.212 0.000
0.788 0.788 0.000
0.500 0.500 0.000
0.104 0.604 0.500
0.396 0.896 0.500
0.604 0.104 0.500
0.896 0.396 0.500
```



It is found that the DFT formation energy values, taken in the order of the records, are -4.49; -5.52; -4.44; -5.34; -0.67; -7.57; -2.96; -4.24 eV per formula unit.